A geometry-optimized InSnH2Rh structure. Source: Alexandria, functional PBE-GGA.

The structure in POSCAR format:
```
InSnH2Rh
1.0
-2.861 2.322 1.403
0.027 -2.692 4.511
2.713 2.464 1.454
In Sn Rh H
1 1 1 2
Direct
0.500 0.500 0.500
0.000 0.500 0.000
0.000 0.000 0.000
0.500 0.000 0.000
0.000 0.000 0.500
```

Values from the calculation:
calculated density	6.88	g/cm³
DOS at the Fermi energy	1.84	states/eV per cell
spin magnetization	0.00	μB/f.u.
final energy	-3.83	eV per atom

A geometry-optimized SrInH8Rh2 structure. Source: Alexandria, functional PBE-GGA.

The structure in POSCAR format:
```
SrInH8Rh2
1.0
-1.851 3.811 -2.432
-3.767 2.491 1.864
1.867 5.684 2.580
Sr Rh In H
1 2 1 8
Direct
0.500 0.500 0.500
0.720 0.720 0.841
0.280 0.280 0.159
0.000 0.000 0.000
0.066 0.067 0.276
0.934 0.933 0.724
0.933 0.409 0.724
0.809 0.809 0.572
0.409 0.934 0.724
0.591 0.066 0.276
0.067 0.591 0.276
0.191 0.191 0.428
```

Values from the calculation:
calculated density	5.70	g/cm³
DOS at the Fermi energy	1.75	states/eV per cell
spin magnetization	0.00	μB/f.u.
final energy	-3.96	eV per atom

A geometry-optimized SrInHRh2 structure. Source: Alexandria, functional PBE-GGA.

The structure in POSCAR format:
```
SrInHRh2
1.0
-3.201 -3.914 0.175
0.181 -0.434 -6.409
3.916 -3.188 0.327
Rh In H Sr
2 1 1 1
Direct
0.000 0.000 0.500
0.500 0.000 0.000
0.000 0.500 0.000
0.500 0.500 0.500
0.000 0.000 0.000
```

Values from the calculation:
calculated density	4.13	g/cm³
DOS at the Fermi energy	7.88	states/eV per cell
spin magnetization	1.35	μB/f.u.
final energy	-2.72	eV per atom

A geometry-optimized TlInH8Rh2 structure. Source: Alexandria, functional PBE-GGA.

The structure in POSCAR format:
```
TlInH8Rh2
1.0
-4.310 -0.284 -2.351
-3.916 -1.925 2.268
-4.379 5.277 2.248
H Rh Tl In
8 2 1 1
Direct
0.480 0.893 0.144
0.517 0.520 0.856
0.107 0.517 0.856
0.520 0.107 0.856
0.893 0.483 0.144
0.225 0.225 0.325
0.775 0.775 0.675
0.483 0.480 0.144
0.691 0.691 0.926
0.309 0.309 0.074
0.500 0.500 0.500
0.000 0.000 0.000
```

Values from the calculation:
calculated density	6.37	g/cm³
DOS at the Fermi energy	1.38	states/eV per cell
spin magnetization	0.00	μB/f.u.
final energy	-3.81	eV per atom

A geometry-optimized V2InHRh structure. Source: Alexandria, functional PBE-GGA.

The structure in POSCAR format:
```
V2InHRh
1.0
3.867 0.000 0.000
0.000 3.867 0.000
0.000 0.000 4.231
Rh In V H
1 1 2 1
Direct
0.000 0.000 0.500
0.500 0.500 0.500
0.500 0.000 0.000
0.000 0.500 0.000
0.000 0.000 0.000
```

Values from the calculation:
calculated density	8.41	g/cm³
DOS at the Fermi energy	6.23	states/eV per cell
spin magnetization	0.00	μB/f.u.
final energy	-6.43	eV per atom

A geometry-optimized VInHRh2 structure. Source: Alexandria, functional PBE-GGA.

The structure in POSCAR format:
```
VInHRh2
1.0
-0.353 4.064 0.307
-3.822 -0.437 1.391
1.340 -0.158 3.633
V In H Rh
1 1 1 2
Direct
0.000 0.000 0.500
0.500 0.500 0.500
0.000 0.000 0.000
0.000 0.500 0.000
0.500 0.000 0.000
```

Values from the calculation:
calculated density	9.54	g/cm³
DOS at the Fermi energy	5.97	states/eV per cell
spin magnetization	2.28	μB/f.u.
final energy	-6.17	eV per atom

A geometry-optimized VInH2Rh structure. Source: Alexandria, functional PBE-GGA.

The structure in POSCAR format:
```
VInH2Rh
1.0
3.643 0.000 0.000
0.000 5.156 0.000
0.000 0.000 3.643
H V Rh In
2 1 1 1
Direct
0.000 0.000 0.500
0.500 0.000 0.000
0.500 0.500 0.500
0.000 0.000 0.000
0.000 0.500 0.000
```

Values from the calculation:
calculated density	6.57	g/cm³
DOS at the Fermi energy	4.77	states/eV per cell
spin magnetization	0.00	μB/f.u.
final energy	-4.51	eV per atom

A geometry-optimized YInHRh2 structure. Source: Alexandria, functional PBE-GGA.

The structure in POSCAR format:
```
YInHRh2
1.0
4.305 0.000 0.000
0.000 4.305 0.000
0.000 0.000 4.140
Rh H In Y
2 1 1 1
Direct
0.500 0.000 0.000
0.000 0.500 0.000
0.000 0.000 0.000
0.500 0.500 0.500
0.000 0.000 0.500
```

Values from the calculation:
calculated density	8.88	g/cm³
DOS at the Fermi energy	2.52	states/eV per cell
spin magnetization	0.00	μB/f.u.
final energy	-5.91	eV per atom

Question: What is the formula in the seventh record?
Answer: VInH2Rh